[1]
Entry from Alexandria via LeMat-Bulk: Mg2CdO3 after structural relaxation (PBE-GGA).

Cell: 5.877 5.877 5.810 Å, 99.30 99.30 120.27°
Fractional coordinates of all 12 atoms:
Mg: 0.083 0.917 0.500
Mg: 0.247 0.757 0.000
Mg: 0.757 0.247 0.500
Mg: 0.917 0.083 0.000
Cd: 0.417 0.590 0.506
Cd: 0.590 0.417 0.006
O: 0.096 0.630 0.634
O: 0.258 0.456 0.103
O: 0.456 0.258 0.603
O: 0.630 0.096 0.134
O: 0.824 0.987 0.636
O: 0.987 0.824 0.136

As for the space group: Cc (9).

---

[2]
Entry from Alexandria via LeMat-Bulk: MgCd5O5 after structural relaxation (PBE-GGA).

Cell: 5.752 5.752 6.597 Å, 107.41 107.41 48.67°
Fractional coordinates of all 11 atoms:
Mg: 0.000 0.000 0.000
Cd: 0.000 0.000 0.500
Cd: 0.337 0.337 0.663
Cd: 0.340 0.340 0.178
Cd: 0.660 0.660 0.822
Cd: 0.663 0.663 0.337
O: 0.156 0.156 0.847
O: 0.158 0.158 0.313
O: 0.500 0.500 0.000
O: 0.842 0.842 0.687
O: 0.844 0.844 0.153

As for the space group: C2/m (12).

---

[3]
Entry from Alexandria via LeMat-Bulk: MgCdO3 after structural relaxation (PBE-GGA).

Cell: 3.870 3.870 3.870 Å, 90.00 90.00 90.00°
Fractional coordinates of all 5 atoms:
Mg: 0.000 0.000 0.000
Cd: 0.500 0.500 0.500
O: 0.000 0.000 0.500
O: 0.000 0.500 0.000
O: 0.500 0.000 0.000

As for the space group: Pm-3m (221).

---

[4]
Entry from Alexandria via LeMat-Bulk: Mg3CdO4 after structural relaxation (PBE-GGA).

Cell: 6.781 5.880 5.334 Å, 90.00 90.00 90.00°
Fractional coordinates of all 16 atoms:
Mg: 0.000 0.174 0.000
Mg: 0.249 0.664 0.001
Mg: 0.251 0.336 0.501
Mg: 0.500 0.826 0.500
Mg: 0.749 0.336 0.501
Mg: 0.751 0.664 0.001
Cd: 0.000 0.836 0.507
Cd: 0.500 0.164 0.007
O: 0.000 0.198 0.626
O: 0.000 0.840 0.080
O: 0.230 0.346 0.127
O: 0.270 0.654 0.627
O: 0.500 0.160 0.580
O: 0.500 0.802 0.126
O: 0.730 0.654 0.627
O: 0.770 0.346 0.127

As for the space group: Pmn2_1 (31).

---

| no. | VASP energy (Ha/atom) | formation energy without anion corrections (eV/atom) |
| --- | --- | --- |
| 1 | -0.1924 | -2.071 |
| 2 | -0.1438 | -1.098 |
| 3 | -0.1590 | -0.849 |
| 4 | -0.1991 | -2.227 |